(1)
LaFe2Sb | PBE | optimized geometry

The structure in extended XYZ format:
```
4
Lattice="-1.6338 2.4103 5.1270 1.6338 -2.4103 5.1270 1.6338 2.4103 -5.1270" Properties=species:S:1:pos:R:3 pbc="T T T"
La 0.0000 0.0000 0.0000
Fe 0.0000 0.0000 5.2162
Fe 0.0000 2.4103 1.9693
Sb 1.6338 0.0000 2.9075
```

Computed properties:
Calculated total energy ... -25.45 eV/cell
DOS at the Fermi energy ... 2.3 states/eV per cell

***

(2)
Ba2SbBr | PBE | optimized geometry

The structure in extended XYZ format:
```
4
Lattice="0.0000 4.2150 4.2150 4.2150 0.0000 4.2150 4.2150 4.2150 0.0000" Properties=species:S:1:pos:R:3 pbc="T T T"
Ba 2.1075 2.1075 2.1075
Ba 6.3225 6.3225 6.3225
Sb 0.0000 0.0000 0.0000
Br 4.2150 4.2150 4.2150
```

Computed properties:
Calculated total energy ... -15.37 eV/cell
DOS at the Fermi energy ... 0.0 states/eV per cell

***

Calculated energy relative to the elements, uncorrected in order - 0.5 -5.7 eV per formula unit